PrDy3Zn4 | PBE | optimized geometry

abc: 5.0734 5.0734 7.2682
angles: 90.00 90.00 90.00
Closest atoms and distances in Å follow each position.
Element x y z (fractional)
Pr: 0.0000 0.0000 0.0000  8 Zn 3.17
Dy: 0.0000 0.0000 0.5000  8 Zn 3.08
Dy: 0.5000 0.5000 0.0000  8 Zn 3.17
Dy: 0.5000 0.5000 0.5000  8 Zn 3.08
Zn: 0.0000 0.5000 0.2607  6 Dy 3.08-3.17, 2 Pr 3.17
Zn: 0.0000 0.5000 0.7393  6 Dy 3.08-3.17, 2 Pr 3.17
Zn: 0.5000 0.0000 0.2607  6 Dy 3.08-3.17, 2 Pr 3.17
Zn: 0.5000 0.0000 0.7393  6 Dy 3.08-3.17, 2 Pr 3.17

As for the density of states at the Fermi level: 8.59 states/eV per cell. For the calculated formation energy, the calculation gives -0.33 eV/atom. Its total magnetization is 0.000 μB/f.u. The calculation puts the mass density at 7.9 g/cm³.